(1)
La4Y5 | meta-GGA SCAN | PBEsol geometry

Lattice parameters (Å, degrees): 7.0290 9.7915 9.7915 120.00 90.00 90.00
Closest atoms and distances in Å follow each position.
Atoms (fractional coordinates):
Y: 0.7500 0.6761 0.0000  5 La 3.20-3.52
La: 0.0000 0.0000 0.0000  8 La 3.51-3.84, 6 Y 3.63
La: 0.7500 0.6511 0.6511  5 Y 3.20-3.52
La: 0.7500 0.3489 0.0000  5 Y 3.20-3.52
Y: 0.5000 0.3333 0.6667  8 Y 3.51-3.75, 6 La 3.64
Y: 0.2500 0.3239 0.0000  5 La 3.20-3.52
Y: 0.7500 0.0000 0.6761  5 La 3.20-3.52
La: 0.7500 0.0000 0.3489  5 Y 3.20-3.52
Y: 0.2500 0.0000 0.3239  5 La 3.20-3.52
Y: 0.0000 0.3333 0.6667  8 Y 3.51-3.75, 6 La 3.64
La: 0.2500 0.0000 0.6511  5 Y 3.20-3.52
Y: 0.0000 0.6667 0.3333  8 Y 3.51-3.75, 6 La 3.64
La: 0.5000 0.0000 0.0000  8 La 3.51-3.84, 6 Y 3.63
Y: 0.2500 0.6761 0.6761  5 La 3.20-3.52
Y: 0.5000 0.6667 0.3333  8 Y 3.51-3.75, 6 La 3.64
La: 0.2500 0.6511 0.0000  5 Y 3.20-3.52
Y: 0.7500 0.3239 0.3239  5 La 3.20-3.52
La: 0.2500 0.3489 0.3489  5 Y 3.20-3.52

Summary:
* formation enthalpy at 0 K: 0.056 eV per atom
* magnetization: 0.0 Bohr magnetons per cell
* uncorrected energy: -34.57 eV/atom

***

(2)
RbRuC2 | meta-GGA SCAN | PBEsol geometry

Lattice parameters (Å, degrees): 6.0602 6.0602 6.0602 60.00 60.00 60.00
Closest atoms and distances in Å follow each position.
Atoms (fractional coordinates):
C: 0.6250 0.6250 0.1250  2 Ru 1.86
C: 0.6250 0.1250 0.6250  2 Ru 1.86
Ru: 0.7500 0.7500 0.7500  4 C 1.86
C: 0.6250 0.6250 0.6250  2 Ru 1.86
C: 0.1250 0.6250 0.6250  2 Ru 1.86
Rb: 0.0000 0.0000 0.0000  12 C 3.55, 4 Ru 3.71, 4 Rb 3.71
Rb: 0.2500 0.2500 0.2500  12 C 3.55, 4 Ru 3.71, 4 Rb 3.71
Ru: 0.5000 0.5000 0.5000  4 C 1.86

Summary:
* formation enthalpy at 0 K: 0.565 eV per atom
* magnetization: 0.0 Bohr magnetons per cell
* uncorrected energy: -18.38 eV/atom

***

(3)
Y3CrHg | meta-GGA SCAN | PBEsol geometry

Lattice parameters (Å, degrees): 5.1123 5.1123 5.1123 90.00 90.00 90.00
Closest atoms and distances in Å follow each position.
Atoms (fractional coordinates):
Hg: 0.5000 0.5000 0.5000  12 Y 3.61
Y: 0.0000 0.5000 0.0000  2 Cr 2.56
Y: 0.0000 0.0000 0.5000  2 Cr 2.56
Y: 0.5000 0.0000 0.0000  2 Cr 2.56
Cr: 0.0000 0.0000 0.0000  6 Y 2.56

Summary:
* formation enthalpy at 0 K: 0.258 eV per atom
* magnetization: 1.9 Bohr magnetons per cell
* uncorrected energy: -33.76 eV/atom

***

(4)
ZnSiIr2 | meta-GGA SCAN | PBEsol geometry

Lattice parameters (Å, degrees): 2.8508 3.8474 5.6781 109.80 104.54 90.00
Closest atoms and distances in Å follow each position.
Atoms (fractional coordinates):
Si: 0.4696 0.4696 0.9392  6 Ir 2.35-2.48
Zn: 0.2091 0.7091 0.4182  6 Ir 2.53-2.64
Ir: 0.0334 0.0334 0.0668  4 Si 2.48, 2 Zn 2.64
Ir: 0.7880 0.2880 0.5759  2 Si 2.35, 4 Zn 2.53

Summary:
* formation energy from raw total energies: -0.349 eV/atom
* magnetization: 0.0 Bohr magnetons per cell
* uncorrected energy: -41.78 eV/atom

***

(5)
ZrIn2GaHg | meta-GGA SCAN | PBEsol geometry

Lattice parameters (Å, degrees): 4.9740 4.9740 5.1406 90.00 90.00 90.00
Closest atoms and distances in Å follow each position.
Atoms (fractional coordinates):
Zr: 0.0000 0.0000 0.5000  2 Ga 2.57
In: 0.5000 0.0000 0.0000  2 Ga 2.49
Hg: 0.5000 0.5000 0.5000  4 Zr 3.52, 8 In 3.58
Ga: 0.0000 0.0000 0.0000  4 In 2.49, 2 Zr 2.57
In: 0.0000 0.5000 0.0000  2 Ga 2.49

Summary:
* formation enthalpy at 0 K: 0.355 eV per atom
* magnetization: 0.0 Bohr magnetons per cell
* uncorrected energy: -36.04 eV/atom

***

(6)
BaGaBO3F2 | meta-GGA SCAN | PBEsol geometry

Lattice parameters (Å, degrees): 4.8856 4.8856 9.5471 90.00 90.00 120.00
Closest atoms and distances in Å follow each position.
Atoms (fractional coordinates):
F: 0.6667 0.3333 0.9562  1 Ga 1.97
O: 0.6929 0.6277 0.2500  1 B 1.38
Ba: 0.0000 0.0000 0.0000  6 F 2.85, 6 O 2.92
F: 0.3333 0.6667 0.0438  1 Ga 1.97
F: 0.6667 0.3333 0.5438  1 Ga 1.97
O: 0.3071 0.3723 0.7500  1 B 1.38
Ga: 0.6667 0.3333 0.7500  3 O 1.86, 2 F 1.97
Ba: 0.0000 0.0000 0.5000  6 F 2.85, 6 O 2.92
O: 0.6277 0.9348 0.7500  1 B 1.38
Ga: 0.3333 0.6667 0.2500  3 O 1.86, 2 F 1.97
B: 0.3333 0.6667 0.7500  3 O 1.38
O: 0.3723 0.0652 0.2500  1 B 1.38
F: 0.3333 0.6667 0.4562  1 Ga 1.97
O: 0.0652 0.6929 0.7500  1 B 1.38
B: 0.6667 0.3333 0.2500  3 O 1.38
O: 0.9348 0.3071 0.2500  1 B 1.38

Summary:
* formation energy from raw total energies: -3.036 eV/atom
* magnetization: 0.0 Bohr magnetons per cell
* uncorrected energy: -14.17 eV/atom

***

(7)
InRhPb2 | meta-GGA SCAN | PBEsol geometry

Lattice parameters (Å, degrees): 4.6805 5.2502 4.6805 116.47 90.00 116.47
Closest atoms and distances in Å follow each position.
Atoms (fractional coordinates):
Rh: 0.5000 0.0000 0.5000  8 Pb 3.10, 4 In 3.31
In: 0.0000 0.0000 0.0000  8 Pb 3.10, 4 Rh 3.31
Pb: 0.7500 0.5000 0.2500  4 In 3.10, 4 Rh 3.10, 4 Pb 3.31
Pb: 0.2500 0.5000 0.7500  4 In 3.10, 4 Rh 3.10, 4 Pb 3.31

Summary:
* formation enthalpy at 0 K: 0.246 eV per atom
* magnetization: 0.0 Bohr magnetons per cell
* uncorrected energy: -54.43 eV/atom

***

(8)
FeBMoN2 | meta-GGA SCAN | PBEsol geometry

Lattice parameters (Å, degrees): 3.5173 3.5173 3.8856 90.00 90.00 90.00
Closest atoms and distances in Å follow each position.
Atoms (fractional coordinates):
N: 0.0000 0.5000 0.0000  2 Fe 1.76
N: 0.5000 0.0000 0.0000  2 Fe 1.76
Fe: 0.0000 0.0000 0.0000  4 N 1.76, 2 B 1.94
B: 0.0000 0.0000 0.5000  2 Fe 1.94
Mo: 0.5000 0.5000 0.5000  4 B 2.49, 8 N 2.62

Summary:
* formation energy from raw total energies: 1.182 eV/atom
* magnetization: 2.6 Bohr magnetons per cell
* uncorrected energy: -14.62 eV/atom

***

(9)
PaH3 | meta-GGA SCAN | PBEsol geometry

Lattice parameters (Å, degrees): 6.5203 6.5203 6.5203 90.00 90.00 90.00
Closest atoms and distances in Å follow each position.
Atoms (fractional coordinates):
H: 0.6935 0.0000 0.1553  3 H 2.03-2.17, 1 Pa 2.24
H: 0.8065 0.6553 0.5000  3 H 2.03-2.17, 1 Pa 2.24
H: 0.0000 0.8447 0.6935  3 H 2.03-2.17, 1 Pa 2.24
H: 0.3065 0.0000 0.8447  3 H 2.03-2.17, 1 Pa 2.24
H: 0.8447 0.6935 0.0000  3 H 2.03-2.17, 1 Pa 2.24
Pa: 0.0000 0.5000 0.2500  12 H 2.28-2.30
Pa: 0.5000 0.2500 0.0000  12 H 2.28-2.30
H: 0.1935 0.3447 0.5000  3 H 2.03-2.17, 1 Pa 2.24
H: 0.1935 0.6553 0.5000  3 H 2.03-2.17, 1 Pa 2.24
Pa: 0.0000 0.0000 0.0000  12 H 2.24
H: 0.5000 0.1935 0.6553  3 H 2.03-2.17, 1 Pa 2.24
Pa: 0.5000 0.7500 0.0000  12 H 2.28-2.30
H: 0.8447 0.3065 0.0000  3 H 2.03-2.17, 1 Pa 2.24
H: 0.0000 0.1553 0.3065  3 H 2.03-2.17, 1 Pa 2.24
H: 0.0000 0.8447 0.3065  3 H 2.03-2.17, 1 Pa 2.24
Pa: 0.0000 0.5000 0.7500  12 H 2.28-2.30
Pa: 0.5000 0.5000 0.5000  12 H 2.24
H: 0.3447 0.5000 0.1935  3 H 2.03-2.17, 1 Pa 2.24
Pa: 0.7500 0.0000 0.5000  12 H 2.28-2.30
H: 0.1553 0.6935 0.0000  3 H 2.03-2.17, 1 Pa 2.24
H: 0.6553 0.5000 0.1935  3 H 2.03-2.17, 1 Pa 2.24
H: 0.3065 0.0000 0.1553  3 H 2.03-2.17, 1 Pa 2.24
H: 0.6935 0.0000 0.8447  3 H 2.03-2.17, 1 Pa 2.24
H: 0.0000 0.1553 0.6935  3 H 2.03-2.17, 1 Pa 2.24
H: 0.8065 0.3447 0.5000  3 H 2.03-2.17, 1 Pa 2.24
Pa: 0.2500 0.0000 0.5000  12 H 2.28-2.30
H: 0.6553 0.5000 0.8065  3 H 2.03-2.17, 1 Pa 2.24
H: 0.1553 0.3065 0.0000  3 H 2.03-2.17, 1 Pa 2.24
H: 0.5000 0.8065 0.6553  3 H 2.03-2.17, 1 Pa 2.24
H: 0.5000 0.1935 0.3447  3 H 2.03-2.17, 1 Pa 2.24
H: 0.5000 0.8065 0.3447  3 H 2.03-2.17, 1 Pa 2.24
H: 0.3447 0.5000 0.8065  3 H 2.03-2.17, 1 Pa 2.24

Summary:
* magnetization: 5.3 Bohr magnetons per cell
* uncorrected energy: -27.85 eV/atom

***

(10)
HfGaCl3 | meta-GGA SCAN | PBEsol geometry

Lattice parameters (Å, degrees): 4.9196 4.9196 4.9196 90.00 90.00 90.00
Closest atoms and distances in Å follow each position.
Atoms (fractional coordinates):
Cl: 0.0000 0.0000 0.5000  2 Hf 2.46
Hf: 0.0000 0.0000 0.0000  6 Cl 2.46
Cl: 0.0000 0.5000 0.0000  2 Hf 2.46
Ga: 0.5000 0.5000 0.5000  12 Cl 3.48
Cl: 0.5000 0.0000 0.0000  2 Hf 2.46

Summary:
* formation energy from raw total energies: -0.906 eV/atom
* magnetization: 0.0 Bohr magnetons per cell
* uncorrected energy: -21.50 eV/atom

***

(11)
Y2CuHg | meta-GGA SCAN | PBEsol geometry

Lattice parameters (Å, degrees): 4.2506 4.2506 5.7427 111.72 111.72 90.00
Closest atoms and distances in Å follow each position.
Atoms (fractional coordinates):
Y: 0.7500 0.2500 0.5000  4 Hg 3.01, 4 Cu 3.24, 4 Y 3.24
Hg: 0.2500 0.7500 0.5000  8 Y 3.01-3.24, 4 Cu 3.24
Y: 0.0000 0.0000 0.0000  4 Cu 3.01, 4 Y 3.24, 4 Hg 3.24
Cu: 0.5000 0.5000 0.0000  8 Y 3.01-3.24, 4 Hg 3.24

Summary:
* formation enthalpy at 0 K: -0.240 eV per atom
* magnetization: 0.0 Bohr magnetons per cell
* uncorrected energy: -35.00 eV/atom

***

(12)
Hf2MgS | meta-GGA SCAN | PBEsol geometry

Lattice parameters (Å, degrees): 4.6906 4.6906 4.6906 60.00 60.00 60.00
Closest atoms and distances in Å follow each position.
Atoms (fractional coordinates):
Mg: 0.0000 0.0000 0.0000  8 Hf 2.87
S: 0.5000 0.5000 0.5000  8 Hf 2.87
Hf: 0.7500 0.7500 0.7500  4 S 2.87, 4 Mg 2.87
Hf: 0.2500 0.2500 0.2500  4 S 2.87, 4 Mg 2.87

Summary:
* formation energy from raw total energies: 0.047 eV/atom
* magnetization: 0.0 Bohr magnetons per cell
* uncorrected energy: -34.94 eV/atom

***

(13)
ZnW | meta-GGA SCAN | PBEsol geometry

Lattice parameters (Å, degrees): 3.0547 3.0547 3.0547 90.00 90.00 90.00
Closest atoms and distances in Å follow each position.
Atoms (fractional coordinates):
Zn: 0.5000 0.5000 0.5000  8 W 2.65
W: 0.0000 0.0000 0.0000  8 Zn 2.65

Summary:
* formation enthalpy at 0 K: 0.675 eV per atom
* magnetization: 0.0 Bohr magnetons per cell
* uncorrected energy: -40.93 eV/atom

***

(14)
Pr2Sn5 | meta-GGA SCAN | PBEsol geometry

Lattice parameters (Å, degrees): 4.5803 4.6260 17.6101 90.00 97.47 90.00
Closest atoms and distances in Å follow each position.
Atoms (fractional coordinates):
Sn: 0.1387 0.0000 0.2773  4 Pr 3.24-3.34, 6 Sn 3.25-3.28
Sn: 0.7205 0.0000 0.4411  2 Sn 3.08, 4 Pr 3.31
Pr: 0.9302 0.5000 0.8604  12 Sn 3.26-3.36
Pr: 0.0698 0.5000 0.1396  12 Sn 3.26-3.36
Sn: 0.6386 0.5000 0.2771  4 Pr 3.22-3.32, 6 Sn 3.25-3.29
Sn: 0.4285 0.0000 0.8570  4 Pr 3.26, 8 Sn 3.28-3.40
Sn: 0.5715 0.0000 0.1430  4 Pr 3.26, 8 Sn 3.28-3.40
Sn: 0.0000 0.0000 0.0000  8 Sn 3.25-3.39, 4 Pr 3.36
Pr: 0.7965 0.5000 0.5929  10 Sn 3.22-3.52
Pr: 0.2035 0.5000 0.4071  10 Sn 3.22-3.52
Sn: 0.8613 0.0000 0.7227  4 Pr 3.24-3.34, 6 Sn 3.25-3.28
Sn: 0.5000 0.5000 0.0000  8 Sn 3.25-3.40, 4 Pr 3.34
Sn: 0.2795 0.0000 0.5589  2 Sn 3.08, 4 Pr 3.31
Sn: 0.3614 0.5000 0.7229  4 Pr 3.22-3.32, 6 Sn 3.25-3.29

Summary:
* formation enthalpy at 0 K: -0.647 eV per atom
* magnetization: 0.0 Bohr magnetons per cell
* uncorrected energy: -38.68 eV/atom

***

(15)
Ca2Ga2Ag | meta-GGA SCAN | PBEsol geometry

Lattice parameters (Å, degrees): 3.7023 3.7023 9.2478 101.55 101.55 90.00
Closest atoms and distances in Å follow each position.
Atoms (fractional coordinates):
Ga: 0.2500 0.7500 0.5000  4 Ga 2.62
Ca: 0.6016 0.6016 0.2032  4 Ag 3.18, 4 Ga 3.22
Ga: 0.7500 0.2500 0.5000  4 Ga 2.62
Ag: 0.0000 0.0000 0.0000  8 Ca 3.18
Ca: 0.3984 0.3984 0.7968  4 Ag 3.18, 4 Ga 3.22

Summary:
* formation enthalpy at 0 K: -0.224 eV per atom
* magnetization: 0.0 Bohr magnetons per cell
* uncorrected energy: -16.90 eV/atom

***

(16)
Zn2MoCl | meta-GGA SCAN | PBEsol geometry

Lattice parameters (Å, degrees): 2.8564 4.8459 4.8459 115.97 90.00 90.00
Closest atoms and distances in Å follow each position.
Atoms (fractional coordinates):
Zn: 0.0000 0.0000 0.5000  4 Zn 2.57-2.86, 4 Mo 2.81, 4 Cl 2.81
Mo: 0.5000 0.5000 0.5000  2 Cl 2.57, 8 Zn 2.81, 2 Mo 2.86
Cl: 0.5000 0.0000 0.0000  2 Mo 2.57, 8 Zn 2.81, 2 Cl 2.86
Zn: 0.0000 0.5000 0.0000  4 Zn 2.57-2.86, 4 Cl 2.81, 4 Mo 2.81

Summary:
* formation energy from raw total energies: 0.220 eV/atom
* magnetization: 0.0 Bohr magnetons per cell
* uncorrected energy: -17.25 eV/atom

***

(17)
AlSbP2 | meta-GGA SCAN | PBEsol geometry

Lattice parameters (Å, degrees): 3.7379 3.7379 6.5487 73.42 73.42 60.00
Closest atoms and distances in Å follow each position.
Atoms (fractional coordinates):
Sb: 0.5000 0.5000 0.5000  6 P 2.76
P: 0.2592 0.2592 0.2223  3 Al 2.56, 3 Sb 2.76
P: 0.7408 0.7408 0.7777  3 Al 2.56, 3 Sb 2.76
Al: 0.0000 0.0000 0.0000  6 P 2.56

Summary:
* formation energy from raw total energies: -0.049 eV/atom
* magnetization: 0.0 Bohr magnetons per cell
* uncorrected energy: -16.50 eV/atom

***

(18)
HgSBrN2 | meta-GGA SCAN | PBEsol geometry

Lattice parameters (Å, degrees): 3.7529 3.7529 6.7405 90.00 90.00 90.00
Closest atoms and distances in Å follow each position.
Atoms (fractional coordinates):
S: 0.0000 0.0000 0.5000  4 Hg 2.65
N: 0.5000 0.0000 0.0000  2 Br 1.88
Br: 0.0000 0.0000 0.0000  4 N 1.88
N: 0.0000 0.5000 0.0000  2 Br 1.88
Hg: 0.5000 0.5000 0.5000  4 S 2.65

Summary:
* formation energy from raw total energies: 2.024 eV/atom
* magnetization: 1.2 Bohr magnetons per cell
* uncorrected energy: -21.14 eV/atom

***

(19)
LiY2In2 | meta-GGA SCAN | PBEsol geometry

Lattice parameters (Å, degrees): 4.6587 7.3813 7.3813 90.00 90.00 90.00
Closest atoms and distances in Å follow each position.
Atoms (fractional coordinates):
Y: 0.5000 0.6636 0.8364  6 In 3.09-3.25, 1 Y 3.42
In: 0.0000 0.3580 0.8580  2 Li 2.84, 1 In 2.96, 2 Y 3.09
Y: 0.5000 0.8364 0.3364  6 In 3.09-3.25, 1 Y 3.42
Y: 0.5000 0.3364 0.1636  6 In 3.09-3.25, 1 Y 3.42
Y: 0.5000 0.1636 0.6636  6 In 3.09-3.25, 1 Y 3.42
In: 0.0000 0.8580 0.6420  2 Li 2.84, 1 In 2.96, 2 Y 3.09
In: 0.0000 0.6420 0.1420  2 Li 2.84, 1 In 2.96, 2 Y 3.09
Li: 0.0000 0.5000 0.5000  4 In 2.84
In: 0.0000 0.1420 0.3580  2 Li 2.84, 1 In 2.96, 2 Y 3.09
Li: 0.0000 0.0000 0.0000  4 In 2.84

Summary:
* formation enthalpy at 0 K: -0.527 eV per atom
* magnetization: 0.0 Bohr magnetons per cell
* uncorrected energy: -25.50 eV/atom

***

(20)
Zr2AlCCl | meta-GGA SCAN | PBEsol geometry

Lattice parameters (Å, degrees): 4.2887 4.6701 4.6701 90.00 90.00 90.00
Closest atoms and distances in Å follow each position.
Atoms (fractional coordinates):
Zr: 0.0000 0.5000 0.0000  2 Cl 2.34
C: 0.5000 0.5000 0.5000  8 Zr 3.17, 4 Al 3.30
Al: 0.5000 0.0000 0.0000  2 Cl 2.14
Zr: 0.0000 0.0000 0.5000  2 Cl 2.34
Cl: 0.0000 0.0000 0.0000  2 Al 2.14, 4 Zr 2.34

Summary:
* formation energy from raw total energies: 1.372 eV/atom
* magnetization: 0.0 Bohr magnetons per cell
* uncorrected energy: -16.07 eV/atom